Material: Bi2PIr2
Method: DFT, GGA-PBE
State: optimized geometry

Computed properties:
The value obtained for the polymorph energy (0 for the lowest one) is 0 meV/atom. For the energy of formation from the pure elements, the calculation gives 470.6 meV/atom. As for the mass density: 12.5 Mg/m³.

Structure (extended XYZ):
```
10
Lattice="3.726 0.000 0.000 0.000 3.726 0.000 0.000 0.000 15.957" Properties=species:S:1:pos:R:3 pbc="T T T"
Bi 0.000 0.000 1.751
Bi 0.000 0.000 14.205
Bi 1.863 1.863 6.227
Bi 1.863 1.863 9.730
P 0.000 0.000 7.978
P 1.863 1.863 0.000
Ir 0.000 1.863 3.989
Ir 0.000 1.863 11.968
Ir 1.863 0.000 3.989
Ir 1.863 0.000 11.968
```

Material: Bi2PIrRu
Method: DFT, GGA-PBE
State: optimized geometry

Computed properties:
For the energy of formation from the pure elements, the calculation gives 1235.9 meV/atom. As for the mass density: 9.2 Mg/m³.

Structure (extended XYZ):
```
5
Lattice="5.337 0.000 0.000 0.000 5.337 0.000 0.000 0.000 4.713" Properties=species:S:1:pos:R:3 pbc="T T T"
Bi 0.000 2.669 0.000
Bi 2.669 0.000 0.000
P 0.000 0.000 2.356
Ir 2.669 2.669 0.000
Ru 2.669 2.669 2.356
```

Material: Si2BiPIr
Method: DFT, GGA-PBE
State: optimized geometry

Computed properties:
As for the formation energy without anion corrections: 0.423 eV per atom. As for the mass density: 7.6 Mg/m³.

Structure (extended XYZ):
```
5
Lattice="4.638 0.000 0.000 0.000 4.638 0.000 0.000 0.000 4.964" Properties=species:S:1:pos:R:3 pbc="T T T"
Si 0.000 2.319 0.000
Si 2.319 0.000 0.000
Bi 0.000 0.000 2.482
P 2.319 2.319 2.482
Ir 2.319 2.319 0.000
```

Material: Ta2BiPIr
Method: DFT, GGA-PBE
State: optimized geometry

Computed properties:
For the energy of formation from the pure elements, the calculation gives 2481.8 meV/atom. As for the mass density: 10.1 Mg/m³.

Structure (extended XYZ):
```
5
Lattice="5.192 0.000 0.000 0.000 5.192 0.000 0.000 0.000 4.865" Properties=species:S:1:pos:R:3 pbc="T T T"
Ta 0.000 2.596 0.000
Ta 2.596 0.000 0.000
Bi 0.000 0.000 0.000
P 2.596 2.596 2.433
Ir 0.000 0.000 2.433
```

Material: ZnBiPIr2
Method: DFT, GGA-PBE
State: optimized geometry

Computed properties:
For the energy of formation from the pure elements, the calculation gives 1001.0 meV/atom. As for the mass density: 11.7 Mg/m³.

Structure (extended XYZ):
```
5
Lattice="4.744 0.000 0.000 0.000 4.744 0.000 0.000 0.000 4.350" Properties=species:S:1:pos:R:3 pbc="T T T"
Zn 0.000 0.000 0.000
Bi 2.372 2.372 2.175
P 0.000 0.000 2.175
Ir 0.000 2.372 0.000
Ir 2.372 0.000 0.000
```

Material: Pa2BiIr
Method: DFT, GGA-PBE
State: optimized geometry

Computed properties:
The value obtained for the polymorph energy (0 for the lowest one) is 0 meV/atom. For the energy of formation from the pure elements, the calculation gives -502.2 meV/atom. As for the mass density: 13.2 Mg/m³.

Structure (extended XYZ):
```
12
Lattice="4.100 0.000 0.000 -2.050 3.551 0.000 0.000 0.000 22.441" Properties=species:S:1:pos:R:3 pbc="T T T"
Pa 0.000 0.000 5.251
Pa 0.000 0.000 17.191
Pa 0.000 2.367 9.710
Pa 0.000 2.367 20.211
Pa 2.050 1.184 2.230
Pa 2.050 1.184 12.731
Bi 0.000 0.000 0.000
Bi 0.000 2.367 14.961
Bi 2.050 1.184 7.480
Ir 0.000 0.000 11.221
Ir 0.000 2.367 3.740
Ir 2.050 1.184 18.701
```